# Ca3NiPb

A geometry-optimized Ca3NiPb structure (PBE, Alexandria).

- energy (eV per atom) = -3.29
- D(E_F) (states/eV per atom) = 0.696
- DFT formation energy (kJ/mol of formula units) = -92.3
- ρ (g/cm³) = 4.2

Geometry as POSCAR:
```
Ca3NiPb
1.0
5.351 0.000 0.000
0.000 5.351 0.000
0.000 0.000 5.351
Ca Ni Pb
3 1 1
direct
0.000 0.000 0.500
0.000 0.500 0.000
0.500 0.000 0.000
0.000 0.000 0.000
0.500 0.500 0.500
```


# Tl2SnSe3

A geometry-optimized Tl2SnSe3 structure (PBE, Alexandria).

- energy (eV per atom) = -3.58
- ρ (g/cm³) = 6.6

Geometry as POSCAR:
```
Tl2SnSe3
1.0
6.152 -4.246 0.000
6.152 4.246 0.000
-1.305 0.000 7.336
Tl Sn Se
4 2 6
direct
0.016 0.299 0.143
0.299 0.016 0.643
0.701 0.984 0.357
0.984 0.701 0.857
0.421 0.579 0.250
0.579 0.421 0.750
0.117 0.883 0.250
0.287 0.428 0.514
0.428 0.287 0.014
0.572 0.713 0.986
0.713 0.572 0.486
0.883 0.117 0.750
```


# CdTe3

A geometry-optimized CdTe3 structure (PBE, Alexandria).

- energy (eV per atom) = -2.60
- D(E_F) (states/eV per atom) = 0.389
- ρ (g/cm³) = 6.4

Geometry as POSCAR:
```
CdTe3
1.0
-2.131 4.086 3.676
2.131 -4.086 3.676
2.131 4.086 -3.676
Cd Te
1 3
direct
0.000 0.000 0.000
0.429 0.690 0.738
0.478 0.978 0.500
0.952 0.690 0.262
```